Record 1
Here is InFeRu2 after structural relaxation from Alexandria. Energies are from PBE-GGA.

Unit cell a=5.2086 b=5.2086 c=5.2086 alpha=146.78 beta=127.53 gamma=63.53
Fractional positions:
In (0.0000, 0.0000, 0.0000)
Fe (0.5000, 0.5000, 0.0000)
Ru (0.2732, 0.7732, 0.5000)
Ru (0.7268, 0.2268, 0.5000)

Computed properties:
The value obtained for the energy of formation from the pure elements is 0.259 eV/atom.

Record 2
Here is In2FeRu after structural relaxation from Alexandria. Energies are from PBE-GGA.

Unit cell a=8.1110 b=8.1110 c=8.1110 alpha=158.21 beta=158.21 gamma=31.01
Fractional positions:
In (0.0000, 0.0000, 0.0000)
In (0.1846, 0.1846, 0.0000)
Fe (0.3854, 0.3854, 0.0000)
Ru (0.8047, 0.8047, 0.0000)

Computed properties:
The value obtained for the energy of formation from the pure elements is 0.101 eV/atom.

| no. | N(E_F) (states/eV/f.u.) |
| --- | --- |
| 1 | 3.627 |
| 2 | 2.440 |